Here is a relaxed structure of Sc3Mo from the Alexandria database. Energies are from PBE-GGA.

Computed properties:
- Total magnetic moment: 0.000 Bohr magnetons per cell
- Distance to the lowest polymorph of the same formula: 0.000 eV/atom
- Formation energy: 6.26 kJ/mol of atoms
- E: -7.392 eV/atom

a b c (Å): 7.564 8.530 5.495
angles (deg): 90.00 90.00 90.00
Fractional positions:
Mo: 0.128 0.750 0.569
Mo: 0.372 0.250 0.069
Mo: 0.628 0.750 0.931
Mo: 0.872 0.250 0.431
Sc: 0.031 0.250 0.897
Sc: 0.174 0.065 0.389
Sc: 0.174 0.435 0.389
Sc: 0.326 0.565 0.889
Sc: 0.326 0.935 0.889
Sc: 0.469 0.750 0.397
Sc: 0.531 0.250 0.603
Sc: 0.674 0.065 0.111
Sc: 0.674 0.435 0.111
Sc: 0.826 0.565 0.611
Sc: 0.826 0.935 0.611
Sc: 0.969 0.750 0.103